VASP calculation (PBE) on a relaxed structure of TlW2Se.

Unit cell a=9.1137 b=9.1137 c=9.1137 alpha=19.17 beta=19.17 gamma=19.17
Closest atoms and distances in Å follow each position.
Fractional positions:
W  0.5094  0.5094  0.5094  3 Se 2.65
W  0.9906  0.9906  0.9906  3 Se 2.65
Se  0.2500  0.2500  0.2500  6 W 2.65
Tl  0.7500  0.7500  0.7500  6 Tl 3.04, 6 W 3.04

Summary:
Crystal system ... trigonal
ΔE_f (raw) ... 0.785 eV/atom
Magnetization ... 0.00 μB/f.u.
ρ ... 15.1 g cm⁻³
E above lowest polymorph ... 0.387 eV/atom